Here is a relaxed structure of RbHgGeIr from Alexandria. Energies are from PBE.

Properties
For the formation energy, the calculation gives -0.242 eV per atom. The total magnetic moment is 0.0 μB per formula unit.

a b c (Å): 4.2519 4.2519 12.9890
angles (deg): 90.00 90.00 90.00
Space group P4/nmm (No. 129, origin choice 2)
Symmetry-distinct sites (fractional):
Rb 0.2500 0.2500 0.2449 [2 per cell]
Hg 0.2500 0.7500 0.5000 [2 per cell]
Ge 0.2500 0.2500 0.9019 [2 per cell]
Ir 0.2500 0.7500 0.0000 [2 per cell]